Dy2Ho3Pt2: optimized geometry, PBE.

a = 3.7462 Å, b = 6.3915 Å, c = 9.0120 Å
α = 115.11°, β = 90.00°, γ = 107.04°
With the nearest neighbours (Å) after each atom.
Element x y z (fractional)
1 Dy 0.8364 0.6727 0.1877  2 Pt 2.91
2 Dy 0.1636 0.3273 0.8123  2 Pt 2.91
3 Ho 0.5000 0.0000 0.0000  4 Pt 2.93
4 Ho 0.6147 0.2295 0.4349  3 Pt 2.88-2.93
5 Ho 0.3853 0.7705 0.5651  3 Pt 2.88-2.93
6 Pt 0.8259 0.6518 0.7617  5 Ho 2.88-2.93, 2 Dy 2.91
7 Pt 0.1741 0.3482 0.2383  5 Ho 2.88-2.93, 2 Dy 2.91

Calculated values
- Mass density: 10.9 g/cm³
- SG: No. 12
- Volume: 26.4 Å³ per atom
- Magnetization: 0.00 μB/atom

---

DyHo5Pt6: optimized geometry, PBE.

a = 4.9437 Å, b = 6.9088 Å, c = 8.5342 Å
α = 66.12°, β = 73.27°, γ = 90.00°
With the nearest neighbours (Å) after each atom.
Element x y z (fractional)
1 Ho 0.6666 0.1667 0.6666  8 Pt 3.00-3.02
2 Ho 0.3334 0.3334 0.3333  8 Pt 3.01
3 Ho 0.0000 0.5000 0.0000  8 Pt 3.01-3.02
4 Ho 0.6666 0.6666 0.6667  8 Pt 3.01
5 Ho 0.3334 0.8333 0.3334  8 Pt 3.00-3.02
6 Pt 0.8328 0.5821 0.3346  7 Ho 3.00-3.02, 1 Dy 3.02
7 Pt 0.8329 0.0833 0.3346  7 Ho 3.00-3.02, 1 Dy 3.02
8 Pt 0.5000 0.7488 0.0000  6 Ho 3.01-3.02, 2 Dy 3.02
9 Pt 0.5000 0.2512 0.0000  6 Ho 3.01-3.02, 2 Dy 3.02
10 Pt 0.1671 0.9167 0.6654  7 Ho 3.00-3.02, 1 Dy 3.02
11 Pt 0.1672 0.4179 0.6654  7 Ho 3.00-3.02, 1 Dy 3.02
12 Dy 0.0000 0.0000 0.0000  8 Pt 3.02

Calculated values
- Mass density: 14.2 g/cm³
- SG: No. 12
- Volume: 21.1 Å³ per atom
- Magnetization: 0.00 μB/atom

---

DyHo5Pt4: optimized geometry, PBE.

a = 4.1414 Å, b = 7.6249 Å, c = 9.5365 Å
α = 113.66°, β = 102.54°, γ = 90.00°
With the nearest neighbours (Å) after each atom.
Element x y z (fractional)
1 Dy 0.5000 0.0000 0.0000  4 Pt 2.84
2 Ho 0.8358 0.5943 0.6716  4 Pt 2.79-2.94
3 Ho 0.8358 0.0778 0.6717  4 Pt 2.79-2.94
4 Ho 0.1642 0.9222 0.3283  4 Pt 2.79-2.94
5 Ho 0.5000 0.5000 0.0000  4 Pt 2.79
6 Ho 0.1642 0.4057 0.3284  4 Pt 2.79-2.94
7 Pt 0.2926 0.7926 0.5851  6 Ho 2.87-2.94
8 Pt 0.0000 0.7450 0.9999  4 Ho 2.79, 2 Dy 2.84
9 Pt 0.7074 0.2074 0.4149  6 Ho 2.87-2.94
10 Pt 0.0000 0.2550 0.0001  4 Ho 2.79, 2 Dy 2.84

Calculated values
- Mass density: 11.0 g/cm³
- SG: No. 12
- Volume: 26.8 Å³ per atom
- Magnetization: 0.00 μB/atom

---

Dy2HoPt3: optimized geometry, PBE.

a = 5.7460 Å, b = 8.1195 Å, c = 7.0335 Å
α = 106.73°, β = 114.11°, γ = 90.00°
With the nearest neighbours (Å) after each atom.
Element x y z (fractional)
1 Dy 0.6744 0.5834 0.3338  6 Pt 2.87-2.88
2 Dy 0.6594 0.0834 0.3338  6 Pt 2.87-2.88
3 Dy 0.3406 0.9166 0.6662  6 Pt 2.87-2.88
4 Dy 0.3256 0.4166 0.6662  6 Pt 2.87-2.88
5 Ho 0.9901 0.7500 0.0000  6 Pt 2.86-2.88
6 Ho 0.0099 0.2500 0.0000  6 Pt 2.86-2.88
7 Pt 0.5094 0.2500 0.0000  2 Ho 2.87-2.88, 4 Dy 2.87
8 Pt 0.4906 0.7500 0.0000  2 Ho 2.87-2.88, 4 Dy 2.87
9 Pt 0.1587 0.0829 0.3315  2 Ho 2.86, 4 Dy 2.87-2.88
10 Pt 0.8272 0.4171 0.6685  2 Ho 2.86, 4 Dy 2.87-2.88
11 Pt 0.1728 0.5829 0.3315  2 Ho 2.86, 4 Dy 2.87-2.88
12 Pt 0.8413 0.9171 0.6685  2 Ho 2.86, 4 Dy 2.87-2.88

Calculated values
- Mass density: 12.6 g/cm³
- SG: No. 15
- Volume: 23.7 Å³ per atom
- ΔE to the lowest computed polymorph: 0.098 eV per atom
- Magnetization: 0.00 μB/atom

---

DyHo4Pt2: optimized geometry, PBE.

a = 6.3478 Å, b = 7.7432 Å, c = 8.0478 Å
α = 112.67°, β = 90.00°, γ = 90.00°
With the nearest neighbours (Å) after each atom.
Element x y z (fractional)
1 Ho 0.5051 0.4096 0.7686  4 Pt 3.03-3.18, 2 Ho 3.11-3.24
2 Ho 0.2500 0.2484 0.3456  2 Pt 2.80-2.85
3 Ho 0.7500 0.7516 0.6544  2 Pt 2.80-2.85
4 Ho 0.9949 0.4096 0.7686  4 Pt 3.03-3.18, 2 Ho 3.11-3.24
5 Ho 0.7500 0.0169 0.3872  2 Pt 2.72-2.94
6 Ho 0.0051 0.5904 0.2314  4 Pt 3.03-3.18, 2 Ho 3.11-3.24
7 Ho 0.4949 0.5904 0.2314  4 Pt 3.03-3.18, 2 Ho 3.11-3.24
8 Ho 0.2500 0.9831 0.6128  2 Pt 2.72-2.94
9 Pt 0.2500 0.2462 0.9913  6 Ho 2.85-3.05, 1 Dy 3.04
10 Pt 0.7500 0.7538 0.0087  6 Ho 2.85-3.05, 1 Dy 3.04
11 Pt 0.7500 0.3777 0.4130  2 Ho 2.72-2.80, 1 Dy 2.92
12 Pt 0.2500 0.6223 0.5870  2 Ho 2.72-2.80, 1 Dy 2.92
13 Dy 0.2500 0.8473 0.9736  2 Pt 2.92-3.04
14 Dy 0.7500 0.1527 0.0264  2 Pt 2.92-3.04

Calculated values
- Mass density: 11.0 g/cm³
- SG: No. 11
- Volume: 26.1 Å³ per atom
- Magnetization: 0.00 μB/atom

---

DyHo3Pt: optimized geometry, PBE.

a = 5.0972 Å, b = 6.3799 Å, c = 8.7055 Å
α = 97.09°, β = 90.00°, γ = 90.00°
With the nearest neighbours (Å) after each atom.
Element x y z (fractional)
1 Dy 0.3755 0.2867 0.7383  1 Pt 2.85
2 Dy 0.8757 0.0661 0.1632  1 Pt 2.85
3 Ho 0.3757 0.4028 0.1895  2 Pt 2.98, 2 Dy 3.32
4 Ho 0.3755 0.8511 0.9713  1 Pt 2.74
5 Ho 0.8757 0.4623 0.5087  1 Pt 2.74
6 Ho 0.8756 0.9500 0.7120  2 Pt 2.98, 2 Dy 3.32
7 Ho 0.8754 0.5018 0.9302  1 Pt 2.74
8 Ho 0.3757 0.8903 0.3929  1 Pt 2.74
9 Pt 0.3757 0.7084 0.6615  4 Ho 2.74-2.98, 1 Dy 2.85
10 Pt 0.8756 0.6444 0.2401  4 Ho 2.74-2.98, 1 Dy 2.85

Calculated values
- Mass density: 10.1 g/cm³
- SG: No. 11
- Volume: 28.1 Å³ per atom
- Magnetization: 0.00 μB/atom

---

DyHo3Pt3: optimized geometry, PBE.

a = 6.9343 Å, b = 6.9343 Å, c = 7.0729 Å
α = 90.78°, β = 90.78°, γ = 97.28°
With the nearest neighbours (Å) after each atom.
Element x y z (fractional)
1 Dy 0.7382 0.7382 0.8879  4 Pt 2.77-3.01
2 Dy 0.2618 0.2618 0.1121  4 Pt 2.77-3.01
3 Ho 0.6672 0.6672 0.3822  3 Pt 2.86-2.93
4 Ho 0.1766 0.8234 0.5000  6 Pt 2.82-2.92
5 Ho 0.8234 0.1766 0.5000  6 Pt 2.82-2.92
6 Ho 0.2464 0.7536 0.0000  6 Pt 2.97-3.05
7 Ho 0.7536 0.2464 0.0000  6 Pt 2.97-3.05
8 Ho 0.3328 0.3328 0.6178  3 Pt 2.86-2.93
9 Pt 0.9409 0.9409 0.1955  2 Dy 2.83-3.01, 5 Ho 2.86-2.97, 1 Pt 2.99
10 Pt 0.9825 0.5032 0.7192  1 Dy 2.77, 5 Ho 2.82-3.05
11 Pt 0.5032 0.9825 0.7192  1 Dy 2.77, 5 Ho 2.82-3.05
12 Pt 0.0175 0.4968 0.2808  1 Dy 2.77, 5 Ho 2.82-3.05
13 Pt 0.4968 0.0175 0.2808  1 Dy 2.77, 5 Ho 2.82-3.05
14 Pt 0.0591 0.0591 0.8045  2 Dy 2.83-3.01, 5 Ho 2.86-2.97, 1 Pt 2.99

Calculated values
- Mass density: 12.2 g/cm³
- SG: No. 12
- Volume: 24.1 Å³ per atom
- Magnetization: 0.00 μB/atom

---

Dy2Ho2Pt3: optimized geometry, PBE.

a = 7.5437 Å, b = 7.5437 Å, c = 7.5437 Å
α = 109.47°, β = 109.47°, γ = 109.47°
With the nearest neighbours (Å) after each atom.
Element x y z (fractional)
1 Dy 0.5000 0.3731 0.5000  3 Pt 2.83
2 Dy 0.0000 0.0000 0.3731  3 Pt 2.83
3 Dy 0.6269 0.1269 0.1269  3 Pt 2.83
4 Dy 0.8731 0.5000 0.0000  3 Pt 2.83
5 Ho 0.0000 0.0000 0.8737  3 Pt 2.84
6 Ho 0.5000 0.8737 0.5000  3 Pt 2.84
7 Ho 0.1263 0.6263 0.6263  3 Pt 2.84
8 Ho 0.3737 0.5000 0.0000  3 Pt 2.84
9 Pt 0.7500 0.6265 0.3765  2 Dy 2.83, 2 Ho 2.84
10 Pt 0.2500 0.8735 0.1235  2 Dy 2.83, 2 Ho 2.84
11 Pt 0.6235 0.7500 0.8735  2 Dy 2.83, 2 Ho 2.84
12 Pt 0.8765 0.2500 0.6265  2 Dy 2.83, 2 Ho 2.84
13 Pt 0.3735 0.1235 0.7500  2 Dy 2.83, 2 Ho 2.84
14 Pt 0.1265 0.3765 0.2500  2 Dy 2.83, 2 Ho 2.84

Calculated values
- Mass density: 12.5 g/cm³
- SG: No. 199
- Volume: 23.6 Å³ per atom
- Magnetization: 0.00 μB/atom

---

DyHo3Pt2: optimized geometry, PBE.

a = 4.7584 Å, b = 7.1324 Å, c = 8.7714 Å
α = 90.00°, β = 90.00°, γ = 90.00°
With the nearest neighbours (Å) after each atom.
Element x y z (fractional)
1 Dy 0.5000 0.5093 0.5826  3 Pt 2.82-3.05
2 Dy 0.5000 0.0093 0.4174  3 Pt 2.82-3.05
3 Ho 0.0000 0.4907 0.9174  3 Pt 2.82-3.05
4 Ho 0.0000 0.9907 0.0826  3 Pt 2.82-3.05
5 Ho 0.5000 0.6438 0.1688  4 Pt 2.87-2.94
6 Ho 0.5000 0.1438 0.8312  4 Pt 2.87-2.94
7 Ho 0.0000 0.3563 0.3304  4 Pt 2.87-2.95
8 Ho 0.0000 0.8563 0.6696  4 Pt 2.87-2.95
9 Pt 0.5000 0.7417 0.8435  1 Dy 2.82, 6 Ho 2.87-3.05
10 Pt 0.5000 0.2417 0.1565  1 Dy 2.82, 6 Ho 2.87-3.05
11 Pt 0.0000 0.2582 0.6574  5 Ho 2.82-2.95, 2 Dy 3.05
12 Pt 0.0000 0.7582 0.3426  5 Ho 2.82-2.95, 2 Dy 3.05

Calculated values
- Mass density: 11.7 g/cm³
- SG: No. 26
- Volume: 24.8 Å³ per atom
- ΔE to the lowest computed polymorph: 0.000 eV per atom
- Magnetization: 0.00 μB/atom

---

DyHo3Pt2: optimized geometry, PBE.

a = 6.8840 Å, b = 7.0446 Å, c = 8.4123 Å
α = 114.75°, β = 114.15°, γ = 90.00°
With the nearest neighbours (Å) after each atom.
Element x y z (fractional)
1 Dy 0.0000 0.5000 0.0000  2 Pt 2.76
2 Dy 0.0000 0.0000 0.0000  2 Pt 2.76
3 Ho 0.5000 0.2500 0.0000  4 Pt 2.98
4 Ho 0.5000 0.7500 0.0000  4 Pt 2.98
5 Ho 0.7635 0.0135 0.5271  4 Pt 2.83-2.97
6 Ho 0.2365 0.4865 0.4729  4 Pt 2.83-2.97
7 Ho 0.2365 0.9865 0.4729  4 Pt 2.83-2.97
8 Ho 0.7635 0.5135 0.5271  4 Pt 2.83-2.97
9 Pt 0.5705 0.3599 0.7198  1 Dy 2.76, 6 Ho 2.83-2.98
10 Pt 0.8507 0.1401 0.2802  1 Dy 2.76, 6 Ho 2.83-2.98
11 Pt 0.1493 0.8599 0.7198  1 Dy 2.76, 6 Ho 2.83-2.98
12 Pt 0.4295 0.6401 0.2802  1 Dy 2.76, 6 Ho 2.83-2.98

Calculated values
- Mass density: 10.5 g/cm³
- SG: No. 72
- Volume: 27.6 Å³ per atom
- ΔE to the lowest computed polymorph: 0.105 eV per atom
- Magnetization: 0.00 μB/atom

---

Number 1: E_tot -5.8040 eV/atom, ΔH_f (0 K) -0.80 eV/atom. Number 2: E_tot -6.5521 eV/atom, ΔH_f (0 K) -1.24 eV/atom. Number 3: E_tot -6.1751 eV/atom, ΔH_f (0 K) -1.01 eV/atom. Number 4: E_tot -6.4513 eV/atom, ΔH_f (0 K) -1.13 eV/atom. Number 5: E_tot -5.7087 eV/atom, ΔH_f (0 K) -0.71 eV/atom. Number 6: E_tot -5.3553 eV/atom, ΔH_f (0 K) -0.48 eV/atom. Number 7: E_tot -6.2370 eV/atom, ΔH_f (0 K) -1.03 eV/atom. Number 8: E_tot -6.3343 eV/atom, ΔH_f (0 K) -1.12 eV/atom. Number 9: E_tot -6.0364 eV/atom, ΔH_f (0 K) -0.97 eV/atom. Number 10: E_tot -5.9316 eV/atom, ΔH_f (0 K) -0.86 eV/atom.